Below is a relaxed structure of SrCa3Cd2, with properties calculated at the PBE level.

Values from the calculation:
Total magnetic moment (μB per formula unit): 0.00
DFT formation energy (eV/atom): -0.177
Crystal system: hexagonal

Unit cell a=5.6580 b=5.6580 c=14.9344 alpha=90.00 beta=90.00 gamma=120.00
Space group P6_3/mmc (No. 194)
Unique sites:
1 Sr 0.0000 0.0000 0.2500 x2
2 Ca 0.0000 0.0000 0.0000 x2
3 Ca 0.3333 0.6667 0.0983 x4
4 Cd 0.3333 0.6667 0.6260 x4